P:
PrNd7Dy3: optimized geometry, GGA-PBE.

Unit cell a=7.2505 b=7.2505 c=8.7153 alpha=90.00 beta=90.00 gamma=120.00
Element x y z (fractional)
Pr 0.0000 0.0000 0.0000
Nd 0.0006 0.5003 0.9839
Nd 0.3330 0.1665 0.3336
Nd 0.3333 0.6667 0.3176
Nd 0.4997 0.5003 0.9839
Nd 0.4997 0.9994 0.9839
Nd 0.8335 0.1665 0.3336
Nd 0.8335 0.6670 0.3336
Dy 0.1669 0.3337 0.6582
Dy 0.1669 0.8331 0.6582
Dy 0.6663 0.8331 0.6582

Summary:
* DOS at the Fermi energy: 17.4 states/eV/cell
* calculated volume: 36.07 A^3/atom

=====

Q:
PrNd7Dy3: optimized geometry, GGA-PBE.

Unit cell a=11.0790 b=11.0790 c=3.6325 alpha=90.00 beta=90.00 gamma=120.00
Element x y z (fractional)
Pr 0.0000 0.0000 0.0000
Nd 0.2026 0.4051 0.5000
Nd 0.2026 0.7974 0.5000
Nd 0.5126 0.0252 0.0000
Nd 0.5126 0.4874 0.0000
Nd 0.5949 0.7974 0.5000
Nd 0.6667 0.3333 0.5000
Nd 0.9748 0.4874 0.0000
Dy 0.3126 0.1563 0.5000
Dy 0.8437 0.1563 0.5000
Dy 0.8437 0.6874 0.5000

Summary:
* DOS at the Fermi energy: 14.3 states/eV/cell
* calculated volume: 35.10 A^3/atom

=====

The most stable arrangement is Q, and the next structure is 59 meV per atom less stable.

=====

P:
Pr4Nd2Dy: optimized geometry, GGA-PBE.

Unit cell a=21.0774 b=21.0774 c=21.0774 alpha=10.03 beta=10.03 gamma=10.03
Element x y z (fractional)
Pr 0.1425 0.1425 0.1425
Pr 0.2868 0.2868 0.2868
Pr 0.7132 0.7132 0.7132
Pr 0.8575 0.8575 0.8575
Nd 0.4279 0.4279 0.4279
Nd 0.5721 0.5721 0.5721
Dy 0.0000 0.0000 0.0000

Summary:
* DOS at the Fermi energy: 9.3 states/eV/cell
* calculated volume: 35.21 A^3/atom

=====

Q:
Pr4Nd2Dy: optimized geometry, GGA-PBE.

Unit cell a=12.7639 b=6.9469 c=13.7688 alpha=66.94 beta=30.05 gamma=83.01
Element x y z (fractional)
Pr 0.1413 0.3032 0.0716
Pr 0.1784 0.7661 0.1087
Pr 0.3032 0.1413 0.4839
Pr 0.3813 0.6187 0.4786
Pr 0.6187 0.3813 0.5214
Pr 0.7286 0.7714 0.6313
Pr 0.7661 0.1784 0.9468
Pr 0.7714 0.7286 0.8687
Nd 0.2151 0.6886 0.3567
Nd 0.5104 0.8933 0.5614
Nd 0.6886 0.2151 0.7396
Nd 0.8933 0.5104 0.0349
Dy 0.0037 0.0037 0.9963
Dy 0.2537 0.2537 0.2463

Summary:
* DOS at the Fermi energy: 22.0 states/eV/cell
* calculated volume: 35.44 A^3/atom

=====

The most stable arrangement is P, and the next structure is 50 meV per atom less stable.

=====

P:
Pr2Nd8Dy3: optimized geometry, GGA-PBE.

Unit cell a=8.9881 b=8.9881 c=6.1815 alpha=107.66 beta=107.66 gamma=82.91
Element x y z (fractional)
Pr 0.1916 0.1916 0.3448
Pr 0.8084 0.8084 0.6552
Nd 0.0833 0.0833 0.7646
Nd 0.0959 0.5762 0.3388
Nd 0.3610 0.3610 0.9039
Nd 0.4238 0.9041 0.6612
Nd 0.5762 0.0959 0.3388
Nd 0.6390 0.6390 0.0961
Nd 0.9041 0.4238 0.6612
Nd 0.9167 0.9167 0.2354
Dy 0.2370 0.7630 0.0000
Dy 0.5000 0.5000 0.5000
Dy 0.7630 0.2370 0.0000

Summary:
* DOS at the Fermi energy: 21.0 states/eV/cell
* calculated volume: 34.86 A^3/atom

=====

Q:
Pr2Nd8Dy3: optimized geometry, GGA-PBE.

Unit cell a=11.1341 b=11.1341 c=5.7361 alpha=90.02 beta=90.02 gamma=40.64
Element x y z (fractional)
Pr 0.2402 0.2402 0.4989
Pr 0.7598 0.7598 0.5011
Nd 0.1296 0.1296 0.9995
Nd 0.1912 0.6019 0.4998
Nd 0.3309 0.3309 0.9992
Nd 0.3981 0.8088 0.5002
Nd 0.6019 0.1912 0.4998
Nd 0.6691 0.6691 0.0008
Nd 0.8088 0.3981 0.5002
Nd 0.8704 0.8704 0.0005
Dy 0.0000 0.0000 0.5000
Dy 0.2850 0.7150 0.0000
Dy 0.7150 0.2850 0.0000

Summary:
* DOS at the Fermi energy: 20.0 states/eV/cell
* calculated volume: 35.63 A^3/atom

=====

The most stable arrangement is P, and the next structure is 40 meV per atom less stable.

=====

P:
Pr8Nd2Dy: optimized geometry, GGA-PBE.

Unit cell a=9.6044 b=9.6044 c=6.0776 alpha=105.33 beta=105.33 gamma=122.25
Element x y z (fractional)
Pr 0.0986 0.3312 0.6776
Pr 0.2051 0.7949 0.0000
Pr 0.3312 0.0986 0.6776
Pr 0.4197 0.4197 0.2031
Pr 0.5803 0.5803 0.7969
Pr 0.6688 0.9014 0.3224
Pr 0.7949 0.2051 0.0000
Pr 0.9014 0.6688 0.3224
Nd 0.3082 0.6918 0.5000
Nd 0.6918 0.3082 0.5000
Dy 0.0000 0.0000 0.0000

Summary:
* DOS at the Fermi energy: 15.0 states/eV/cell
* calculated volume: 36.06 A^3/atom

=====

Q:
Pr8Nd2Dy: optimized geometry, GGA-PBE.

Unit cell a=9.1890 b=9.1890 c=6.8550 alpha=100.18 beta=100.18 gamma=44.31
Element x y z (fractional)
Pr 0.0927 0.0927 0.9163
Pr 0.1515 0.6766 0.5962
Pr 0.2560 0.2560 0.6811
Pr 0.3234 0.8485 0.4038
Pr 0.6766 0.1515 0.5962
Pr 0.7440 0.7440 0.3189
Pr 0.8485 0.3234 0.4038
Pr 0.9073 0.9073 0.0837
Nd 0.3056 0.3056 0.1909
Nd 0.6944 0.6944 0.8091
Dy 0.5000 0.5000 0.0000

Summary:
* DOS at the Fermi energy: 18.5 states/eV/cell
* calculated volume: 36.08 A^3/atom

=====

The most stable arrangement is P, and the next structure is 15 meV per atom less stable.

=====

P:
PrNdDy4: optimized geometry, GGA-PBE.

Unit cell a=6.6518 b=6.6518 c=6.6518 alpha=60.00 beta=60.00 gamma=60.00
Element x y z (fractional)
Pr 0.0000 0.0000 0.0000
Nd 0.2500 0.2500 0.2500
Dy 0.1253 0.6249 0.6249
Dy 0.6249 0.1253 0.6249
Dy 0.6249 0.6249 0.1253
Dy 0.6249 0.6249 0.6249

Summary:
* DOS at the Fermi energy: 15.4 states/eV/cell
* calculated volume: 34.69 A^3/atom

=====

Q:
PrNdDy4: optimized geometry, GGA-PBE.

Unit cell a=10.4444 b=10.4444 c=5.8753 alpha=90.20 beta=90.20 gamma=140.67
Element x y z (fractional)
Pr 0.0525 0.9475 0.7500
Pr 0.9475 0.0525 0.2500
Nd 0.4477 0.5523 0.2500
Nd 0.5523 0.4477 0.7500
Dy 0.0411 0.4594 0.2500
Dy 0.1370 0.3636 0.7500
Dy 0.3636 0.1370 0.2500
Dy 0.4594 0.0411 0.7500
Dy 0.5406 0.9589 0.2500
Dy 0.6364 0.8630 0.7500
Dy 0.8630 0.6364 0.2500
Dy 0.9589 0.5406 0.7500

Summary:
* DOS at the Fermi energy: 22.4 states/eV/cell
* calculated volume: 33.85 A^3/atom

=====

The most stable arrangement is Q, and the next structure is 97 meV per atom less stable.

=====

P:
PrNd3Dy3: optimized geometry, GGA-PBE.

Unit cell a=8.9735 b=8.9735 c=8.9735 alpha=58.52 beta=58.52 gamma=58.52
Element x y z (fractional)
Pr 0.1543 0.1543 0.1543
Pr 0.8457 0.8457 0.8457
Nd 0.0666 0.5700 0.2205
Nd 0.2205 0.0666 0.5700
Nd 0.4300 0.7795 0.9334
Nd 0.5700 0.2205 0.0666
Nd 0.7795 0.9334 0.4300
Nd 0.9334 0.4300 0.7795
Dy 0.2149 0.6727 0.4372
Dy 0.3273 0.5628 0.7851
Dy 0.4372 0.2149 0.6727
Dy 0.5628 0.7851 0.3273
Dy 0.6727 0.4372 0.2149
Dy 0.7851 0.3273 0.5628

Summary:
* DOS at the Fermi energy: 20.8 states/eV/cell
* calculated volume: 35.26 A^3/atom

=====

Q:
PrNd3Dy3: optimized geometry, GGA-PBE.

Unit cell a=9.7217 b=9.7217 c=5.8295 alpha=90.00 beta=90.00 gamma=120.00
Element x y z (fractional)
Pr 0.3333 0.6667 0.2500
Pr 0.6667 0.3333 0.7500
Nd 0.0956 0.6215 0.7500
Nd 0.3785 0.4741 0.7500
Nd 0.4741 0.0956 0.2500
Nd 0.5259 0.9044 0.7500
Nd 0.6215 0.5259 0.2500
Nd 0.9044 0.3785 0.2500
Dy 0.0463 0.8136 0.2500
Dy 0.1864 0.2327 0.2500
Dy 0.2327 0.0463 0.7500
Dy 0.7673 0.9537 0.2500
Dy 0.8136 0.7673 0.7500
Dy 0.9537 0.1864 0.7500

Summary:
* DOS at the Fermi energy: 23.9 states/eV/cell
* calculated volume: 34.08 A^3/atom

=====

The most stable arrangement is Q, and the next structure is 170 meV per atom less stable.